[1]
Material: Tc2C
Method: DFT, PBE
State: relaxed

abc: 6.330 6.330 6.330
angles: 60.00 60.00 60.00
Fractional positions:
C 0.250 0.250 0.250
C 0.500 0.500 0.500
Tc 0.375 0.375 0.375
Tc 0.875 0.375 0.375
Tc 0.375 0.875 0.375
Tc 0.375 0.375 0.875

Crystal system ... cubic
Space group ... Fd-3m
Polymorph energy (0 for the lowest one) ... 2347 meV per atom


[2]
Material: ErSbN2O
Method: DFT, PBE
State: relaxed

abc: 8.005 7.789 11.099
angles: 90.00 133.83 90.00
Fractional positions:
Er 0.061 0.739 0.024
Er 0.559 0.749 0.034
Er 0.441 0.249 0.466
Er 0.939 0.239 0.476
Er 0.061 0.761 0.524
Er 0.559 0.751 0.534
Er 0.441 0.251 0.966
Er 0.939 0.261 0.976
N 0.689 0.062 0.003
N 0.950 0.751 0.165
N 0.203 0.078 0.201
N 0.553 0.255 0.218
N 0.447 0.755 0.282
N 0.797 0.578 0.299
N 0.050 0.251 0.335
N 0.311 0.562 0.497
N 0.689 0.438 0.503
N 0.950 0.749 0.665
N 0.203 0.422 0.701
N 0.553 0.245 0.718
N 0.447 0.745 0.782
N 0.797 0.922 0.799
N 0.050 0.249 0.835
N 0.311 0.938 0.997
O 0.699 0.444 0.002
O 0.184 0.458 0.181
O 0.816 0.958 0.319
O 0.301 0.944 0.498
O 0.699 0.056 0.502
O 0.184 0.042 0.681
O 0.816 0.542 0.819
O 0.301 0.556 0.998
Sb 0.478 0.005 0.236
Sb 0.997 0.005 0.239
Sb 0.003 0.505 0.261
Sb 0.522 0.505 0.264
Sb 0.478 0.495 0.736
Sb 0.997 0.495 0.739
Sb 0.003 0.995 0.761
Sb 0.522 0.995 0.764

Crystal system ... monoclinic
Space group ... P2_1/c
DFT total energy ... -7.05 eV per atom


[3]
Material: GdZn
Method: DFT, PBE
State: relaxed

abc: 3.485 3.485 4.717
angles: 90.00 90.00 120.00
Fractional positions:
Gd 0.000 0.000 0.000
Zn 0.667 0.333 0.500

Formation enthalpy at 0 K ... -50 meV/atom
Crystal system ... hexagonal
Space group ... P-6m2
Polymorph energy (0 for the lowest one) ... 289 meV per atom


[4]
Material: BaPmLu
Method: DFT, PBE
State: relaxed

abc: 5.793 5.793 5.793
angles: 60.00 60.00 60.00
Fractional positions:
Ba 0.250 0.250 0.250
Lu 0.750 0.750 0.750
Pm 0.000 0.000 0.000

Crystal system ... cubic
Space group ... F-43m
DFT total energy ... -2.90 eV per atom


[5]
Material: NaErI4
Method: DFT, PBE
State: relaxed

abc: 7.237 8.854 7.684
angles: 90.00 92.44 90.00
Fractional positions:
Er 0.000 0.145 0.250
Er 0.000 0.855 0.750
I 0.765 0.895 0.065
I 0.754 0.376 0.092
I 0.246 0.376 0.408
I 0.235 0.895 0.435
I 0.765 0.105 0.565
I 0.754 0.624 0.592
I 0.246 0.624 0.908
I 0.235 0.105 0.935
Na 0.500 0.640 0.250
Na 0.500 0.360 0.750

Crystal system ... monoclinic
Space group ... P2/c
DFT total energy ... -3.33 eV per atom


[6]
Material: ErSiNO
Method: DFT, PBE
State: relaxed

abc: 3.721 5.234 4.775
angles: 90.00 90.00 90.00
Fractional positions:
Er 0.500 0.006 0.265
Er 0.500 0.506 0.735
N 0.000 0.754 0.495
N 0.000 0.254 0.505
O 0.500 0.493 0.214
O 0.500 0.993 0.786
Si 0.000 0.501 0.243
Si 0.000 0.001 0.757

Crystal system ... orthorhombic
Space group ... Pmc2_1
Polymorph energy (0 for the lowest one) ... 10 meV per atom